Entry 1:
First-principles (PBE) data for a relaxed structure of ScTcSe2, as listed in Alexandria via LeMat-Bulk.

Structure (POSCAR):
```
ScTcSe2
1.0
-2.834 -4.029 -0.553
-1.829 -3.788 2.622
-4.023 1.830 1.134
Sc Se Tc
1 2 1
Direct
0.268 0.268 0.173 Sc
0.995 0.995 0.080 Se
0.756 0.756 0.666 Se
0.482 0.482 0.580 Tc
```

## Properties
crystal system = monoclinic
energy relative to the elements, uncorrected = -59 kJ per mole of atoms
offset from the most stable computed form = 0.0851 eV per atom



Entry 2:
First-principles (PBE) data for a relaxed structure of LaTb3Y3, as listed in Alexandria via LeMat-Bulk.

Structure (POSCAR):
```
LaTb3Y3
1.0
7.890 0.457 4.030
2.662 7.441 4.030
0.611 0.457 8.838
La Tb Y
2 6 6
Direct
0.352 0.352 0.352 La
0.648 0.648 0.648 La
0.714 0.173 0.936 Tb
0.173 0.936 0.714 Tb
0.936 0.714 0.173 Tb
0.064 0.286 0.827 Tb
0.827 0.064 0.286 Tb
0.286 0.827 0.064 Tb
0.730 0.571 0.062 Y
0.062 0.730 0.571 Y
0.571 0.062 0.730 Y
0.429 0.938 0.270 Y
0.938 0.270 0.429 Y
0.270 0.429 0.938 Y
```

## Properties
crystal system = trigonal
calculated formation energy = 1.5 eV/f.u.
offset from the most stable computed form = 0.1957 eV per atom



Entry 3:
First-principles (PBE) data for a relaxed structure of ZrReSn2Sb, as listed in Alexandria via LeMat-Bulk.

Structure (POSCAR):
```
ZrReSn2Sb
1.0
5.530 0.000 0.000
0.000 5.457 0.000
0.000 0.000 5.530
Re Sn Zr Sb
1 2 1 1
Direct
0.500 0.500 0.500 Re
0.000 0.000 0.500 Sn
0.500 0.000 0.000 Sn
0.000 0.000 0.000 Zr
0.000 0.500 0.000 Sb
```

## Properties
crystal system = tetragonal
energy relative to the elements, uncorrected = 137 kJ per mole of atoms



Entry 4:
First-principles (PBE) data for a relaxed structure of NaICl2O, as listed in Alexandria via LeMat-Bulk.

Structure (POSCAR):
```
NaICl2O
1.0
-3.486 -0.191 -3.757
-2.280 -3.012 2.269
-2.666 3.739 2.284
I Na O Cl
1 1 1 2
Direct
0.500 0.500 0.500 I
0.000 0.000 0.000 Na
0.000 0.500 0.000 O
0.000 0.000 0.500 Cl
0.500 0.000 0.000 Cl
```

## Properties
crystal system = tetragonal
energy relative to the elements, uncorrected = 22 kJ per mole of atoms



Entry 5:
First-principles (PBE) data for a relaxed structure of TlIn2Ga, as listed in Alexandria via LeMat-Bulk.

Structure (POSCAR):
```
TlIn2Ga
1.0
4.686 0.000 0.000
2.343 4.058 0.000
2.343 1.353 5.863
Tl Ga In
1 1 2
Direct
0.500 0.500 0.500 Tl
0.000 0.000 0.000 Ga
0.270 0.270 0.190 In
0.730 0.730 0.810 In
```

## Properties
crystal system = trigonal
calculated formation energy = 0.3 eV/f.u.
offset from the most stable computed form = 0.0497 eV per atom



Entry 6:
First-principles (PBE) data for a relaxed structure of YP2Au, as listed in Alexandria via LeMat-Bulk.

Structure (POSCAR):
```
YP2Au
1.0
-2.873 -2.433 -0.597
-0.404 -0.447 3.764
-3.636 4.264 0.116
Au P Y
1 2 1
Direct
0.500 0.500 0.843 Au
0.000 0.000 0.912 P
0.500 0.500 0.321 P
0.000 0.000 0.424 Y
```

## Properties
crystal system = tetragonal
calculated formation energy = -2.1 eV/f.u.
offset from the most stable computed form = 0.2011 eV per atom



Entry 7:
First-principles (PBE) data for a relaxed structure of DyIn2Pb, as listed in Alexandria via LeMat-Bulk.

Structure (POSCAR):
```
DyIn2Pb
1.0
3.933 0.000 0.000
0.000 3.933 0.000
0.000 0.000 7.098
Pb In Dy
1 2 1
Direct
0.500 0.500 0.500 Pb
0.000 0.000 0.744 In
0.000 0.000 0.256 In
0.500 0.500 0.000 Dy
```

## Properties
crystal system = tetragonal
calculated formation energy = -0.8 eV/f.u.
offset from the most stable computed form = 0.1609 eV per atom



Entry 8:
First-principles (PBE) data for a relaxed structure of CrRuN, as listed in Alexandria via LeMat-Bulk.

Structure (POSCAR):
```
CrRuN
1.0
-1.286 1.733 1.574
-6.163 2.352 -7.627
-2.898 -3.341 1.312
Cr Ru N
4 4 4
Direct
0.000 0.436 0.338 Cr
0.000 0.564 0.838 Cr
0.500 0.936 0.338 Cr
0.500 0.064 0.838 Cr
0.000 0.290 0.797 Ru
0.000 0.710 0.297 Ru
0.500 0.790 0.797 Ru
0.500 0.210 0.297 Ru
0.000 0.054 0.150 N
0.000 0.946 0.650 N
0.500 0.554 0.150 N
0.500 0.446 0.650 N
```

## Properties
crystal system = orthorhombic
energy relative to the elements, uncorrected = -13 kJ per mole of atoms
offset from the most stable computed form = 0.0000 eV per atom



Entry 9:
First-principles (PBE) data for a relaxed structure of IrOsCl2, as listed in Alexandria via LeMat-Bulk.

Structure (POSCAR):
```
IrOsCl2
1.0
-0.558 -2.438 1.461
2.421 -1.803 -2.085
4.214 1.296 3.772
Ir Os Cl
1 1 2
Direct
0.500 0.500 0.250 Ir
0.500 0.500 0.750 Os
0.000 0.000 0.993 Cl
0.000 0.000 0.507 Cl
```

## Properties
crystal system = orthorhombic
energy relative to the elements, uncorrected = 154 kJ per mole of atoms
offset from the most stable computed form = 1.4644 eV per atom



Entry 10:
First-principles (PBE) data for a relaxed structure of KCrTeSe, as listed in Alexandria via LeMat-Bulk.

Structure (POSCAR):
```
KCrTeSe
1.0
-2.882 1.140 -2.338
-3.169 -2.209 -0.393
-3.542 3.963 6.300
K Cr Te Se
1 1 1 1
Direct
0.202 0.202 0.038 K
0.535 0.535 0.581 Cr
0.868 0.868 0.375 Te
0.868 0.868 0.755 Se
```

## Properties
crystal system = trigonal
energy relative to the elements, uncorrected = -47 kJ per mole of atoms



Entry 11:
First-principles (PBE) data for a relaxed structure of K2PuSnSe4, as listed in Alexandria via LeMat-Bulk.

Structure (POSCAR):
```
K2PuSnSe4
1.0
-3.760 1.258 -1.644
-2.274 -7.584 -0.603
-3.445 -1.887 6.436
K Pu Sn Se
2 1 1 4
Direct
0.000 0.000 0.000 K
0.500 0.000 0.500 K
0.000 0.500 0.500 Pu
0.500 0.500 0.000 Sn
0.000 0.704 0.751 Se
0.000 0.296 0.249 Se
0.500 0.702 0.275 Se
0.500 0.298 0.725 Se
```

## Properties
crystal system = monoclinic
energy relative to the elements, uncorrected = -107 kJ per mole of atoms



Entry 12:
First-principles (PBE) data for a relaxed structure of PrThMg, as listed in Alexandria via LeMat-Bulk.

Structure (POSCAR):
```
PrThMg
1.0
-3.184 -1.208 1.158
1.170 -3.387 -0.316
3.409 2.493 6.390
Pr Mg Th
1 1 1
Direct
0.328 0.328 0.655 Pr
0.666 0.666 0.331 Mg
0.007 0.007 0.013 Th
```

## Properties
crystal system = tetragonal
calculated formation energy = 0.1 eV/f.u.
offset from the most stable computed form = 0.0626 eV per atom



Entry 13:
First-principles (PBE) data for a relaxed structure of Tb4Te5C2, as listed in Alexandria via LeMat-Bulk.

Structure (POSCAR):
```
Tb4Te5C2
1.0
-0.854 4.067 -0.727
-8.032 -1.313 2.092
4.808 0.378 8.705
Tb Te C
4 5 2
Direct
0.668 0.584 0.336 Tb
0.995 0.732 0.990 Tb
0.332 0.416 0.664 Tb
0.005 0.268 0.010 Tb
0.154 0.830 0.307 Te
0.846 0.170 0.693 Te
0.166 0.314 0.332 Te
0.500 0.000 0.000 Te
0.834 0.686 0.668 Te
0.533 0.500 0.066 C
0.467 0.500 0.934 C
```

## Properties
crystal system = monoclinic
energy relative to the elements, uncorrected = -87 kJ per mole of atoms



Entry 14:
First-principles (PBE) data for a relaxed structure of CeEr2In, as listed in Alexandria via LeMat-Bulk.

Structure (POSCAR):
```
CeEr2In
1.0
-0.390 -0.772 -3.405
3.177 -1.499 -0.024
-3.740 -7.964 2.234
In Ce Er
1 1 2
Direct
0.500 0.500 0.000 In
0.500 0.500 0.500 Ce
0.000 0.000 0.768 Er
0.000 0.000 0.232 Er
```

## Properties
crystal system = tetragonal
calculated formation energy = -0.8 eV/f.u.
offset from the most stable computed form = 0.0113 eV per atom



Entry 15:
First-principles (PBE) data for a relaxed structure of HgTe3, as listed in Alexandria via LeMat-Bulk.

Structure (POSCAR):
```
HgTe3
1.0
-1.294 -1.804 -4.955
-3.361 -4.228 -0.558
-5.014 0.756 -1.941
Hg Te
1 3
Direct
0.000 0.000 0.000 Hg
0.250 0.250 0.250 Te
0.500 0.500 0.500 Te
0.750 0.750 0.750 Te
```

## Properties
crystal system = cubic
energy relative to the elements, uncorrected = 28 kJ per mole of atoms



Entry 16:
First-principles (PBE) data for a relaxed structure of YFe2Ru, as listed in Alexandria via LeMat-Bulk.

Structure (POSCAR):
```
YFe2Ru
1.0
5.216 0.000 0.004
2.270 4.696 -0.004
-3.244 -3.143 2.608
Fe Ru Y
2 1 1
Direct
0.975 0.975 0.000 Fe
0.754 0.254 0.500 Fe
0.521 0.521 0.000 Ru
0.251 0.751 0.500 Y
```

## Properties
crystal system = orthorhombic
calculated formation energy = 0.9 eV/f.u.



Entry 17:
First-principles (PBE) data for a relaxed structure of Al2TlSbN, as listed in Alexandria via LeMat-Bulk.

Structure (POSCAR):
```
Al2TlSbN
1.0
-3.774 -2.726 -3.012
1.897 -3.524 0.813
-3.142 -0.648 4.522
Sb Tl Al N
1 1 2 1
Direct
0.500 0.500 0.500 Sb
0.000 0.000 0.000 Tl
0.000 0.000 0.500 Al
0.500 0.000 0.000 Al
0.000 0.500 0.000 N
```

## Properties
crystal system = tetragonal
energy relative to the elements, uncorrected = 127 kJ per mole of atoms



Entry 18:
First-principles (PBE) data for a relaxed structure of ZrScAu2, as listed in Alexandria via LeMat-Bulk.

Structure (POSCAR):
```
ZrScAu2
1.0
3.316 0.000 0.000
0.000 3.379 -0.007
0.000 3.395 7.095
Sc Au Zr
1 2 1
Direct
0.500 0.250 0.250 Sc
0.000 0.985 0.015 Au
0.000 0.515 0.485 Au
0.500 0.750 0.750 Zr
```

## Properties
crystal system = orthorhombic
calculated formation energy = -2.5 eV/f.u.
offset from the most stable computed form = 0.0000 eV per atom



Entry 19:
First-principles (PBE) data for a relaxed structure of LiAlCd, as listed in Alexandria via LeMat-Bulk.

Structure (POSCAR):
```
LiAlCd
1.0
5.044 0.000 -0.009
0.000 3.012 0.000
-2.339 0.000 14.251
Li Al Cd
4 4 4
Direct
0.653 0.000 0.417 Li
0.347 0.000 0.583 Li
0.653 0.500 0.917 Li
0.347 0.500 0.083 Li
0.263 0.000 0.249 Al
0.737 0.000 0.751 Al
0.263 0.500 0.749 Al
0.737 0.500 0.251 Al
0.155 0.000 0.916 Cd
0.845 0.000 0.084 Cd
0.155 0.500 0.416 Cd
0.845 0.500 0.584 Cd
```

## Properties
crystal system = monoclinic
calculated formation energy = -0.3 eV/f.u.
offset from the most stable computed form = 0.0299 eV per atom



Entry 20:
First-principles (PBE) data for a relaxed structure of TiVIr2, as listed in Alexandria via LeMat-Bulk.

Structure (POSCAR):
```
TiVIr2
1.0
-2.615 0.678 0.836
0.377 -1.481 2.379
2.592 5.941 3.289
Ir Ti V
2 1 1
Direct
0.000 0.000 0.739 Ir
0.000 0.000 0.261 Ir
0.500 0.500 0.000 Ti
0.500 0.500 0.500 V
```

## Properties
crystal system = tetragonal
calculated formation energy = -2.5 eV/f.u.
offset from the most stable computed form = 0.0000 eV per atom



Entry 21:
First-principles (PBE) data for a relaxed structure of Y2Ni2Ir, as listed in Alexandria via LeMat-Bulk.

Structure (POSCAR):
```
Y2Ni2Ir
1.0
6.851 0.000 0.000
0.000 6.851 0.000
0.000 0.000 3.867
Y Ni Ir
4 4 2
Direct
0.185 0.685 0.500 Y
0.685 0.815 0.500 Y
0.815 0.315 0.500 Y
0.315 0.185 0.500 Y
0.379 0.879 0.000 Ni
0.879 0.621 0.000 Ni
0.621 0.121 0.000 Ni
0.121 0.379 0.000 Ni
0.000 0.000 0.000 Ir
0.500 0.500 0.000 Ir
```

## Properties
crystal system = tetragonal
calculated formation energy = -2.4 eV/f.u.
offset from the most stable computed form = 0.0847 eV per atom